1.
La2Tb7Tm3 | PBE | relaxed

abc: 6.363 3.525 17.489
angles: 90.00 96.13 90.00
Fractional positions:
La 0.059 0.000 0.172
La 0.941 0.000 0.828
Tb 0.000 0.500 0.500
Tb 0.231 0.000 0.667
Tb 0.258 0.000 0.998
Tb 0.276 0.500 0.338
Tb 0.724 0.500 0.662
Tb 0.742 0.000 0.002
Tb 0.769 0.000 0.333
Tm 0.453 0.500 0.843
Tm 0.500 0.000 0.500
Tm 0.547 0.500 0.157

Summary:
DFT total energy: -54.747 eV per formula unit
Energy relative to the elements: 78 meV/atom

2.
DyScAu | PBE | relaxed

abc: 4.552 4.552 7.113
angles: 90.00 90.00 90.00
Fractional positions:
Dy 0.250 0.250 0.134
Dy 0.750 0.750 0.866
Sc 0.250 0.750 0.500
Sc 0.750 0.250 0.500
Au 0.250 0.250 0.734
Au 0.750 0.750 0.266

Summary:
DFT total energy: -16.013 eV per formula unit
Energy relative to the elements: -601 meV/atom

- Which value of energy relative to the elements does entry 1 give?
  78 meV/atom

- The lowest energy relative to the elements belongs to which entry?
  DyScAu

- What is the DFT total energy in the first record?
  -54.747 eV per formula unit

- What is the DFT total energy in the second record?
  -16.013 eV per formula unit